i) Below is Sb2Te2Au after structural relaxation, with properties calculated at the PBE level.

Calculated values
N(E_F): 0.964 states/eV per atom
Volume: 29.20 A^3/atom

Cell: 4.1838 4.1838 16.6801 Å, 90.00 90.00 90.00°
Space group I4/mmm (No. 139)
Inequivalent atoms, fractional coordinates:
Sb (0.0000, 0.5000, 0.2500)
Te (0.0000, 0.0000, 0.0872)
Au (0.0000, 0.0000, 0.5000)

ii) Below is Sb2Te2Au after structural relaxation, with properties calculated at the PBE level.

Calculated values
N(E_F): 0.204 states/eV per atom
Volume: 35.82 A^3/atom

Cell: 4.4234 8.5224 10.4240 Å, 110.67 102.13 90.18°
Space group P-1 (No. 2)
Inequivalent atoms, fractional coordinates:
Sb (0.0252, 0.1819, 0.0447)
Sb (0.3251, 0.3581, 0.6626)
Te (0.1207, 0.8252, 0.2354)
Te (0.2770, 0.7527, 0.5476)
Au (0.3967, 0.7024, 0.7995)

iii) Below is Sb2Te2Au after structural relaxation, with properties calculated at the PBE level.

Calculated values
N(E_F): 0.394 states/eV per atom
Volume: 31.68 A^3/atom

Cell: 6.0574 6.0574 8.6336 Å, 90.00 90.00 90.00°
Space group I4/mmm (No. 139)
Inequivalent atoms, fractional coordinates:
Sb (0.0000, 0.0000, 0.1901)
Te (0.0000, 0.5000, 0.2500)
Au (0.0000, 0.0000, 0.5000)

iv) Below is Sb2Te2Au after structural relaxation, with properties calculated at the PBE level.

Calculated values
N(E_F): 0.805 states/eV per atom
Volume: 29.11 A^3/atom

Cell: 8.0885 8.0885 4.4493 Å, 90.00 90.00 90.00°
Space group P4/mbm (No. 127)
Inequivalent atoms, fractional coordinates:
Sb (0.1324, 0.3676, 0.0000)
Te (0.1879, 0.6879, 0.5000)
Au (0.0000, 0.0000, 0.5000)

We find ii) to be the most stable, with the next structure 6.3 kJ/mol of atoms higher.

i) Below is Sb2TeAu2 after structural relaxation, with properties calculated at the PBE level.

Calculated values
N(E_F): 0.511 states/eV per atom
Volume: 25.21 A^3/atom

Cell: 3.9678 3.9678 16.0123 Å, 90.00 90.00 90.00°
Space group I4/mmm (No. 139)
Inequivalent atoms, fractional coordinates:
Sb (0.0000, 0.0000, 0.1141)
Te (0.0000, 0.0000, 0.5000)
Au (0.0000, 0.5000, 0.2500)

ii) Below is Sb2TeAu2 after structural relaxation, with properties calculated at the PBE level.

Calculated values
N(E_F): 0.455 states/eV per atom
Volume: 24.92 A^3/atom

Cell: 8.6390 8.6390 3.3388 Å, 90.00 90.00 90.00°
Space group P4/mbm (No. 127)
Inequivalent atoms, fractional coordinates:
Sb (0.1948, 0.3052, 0.0000)
Te (0.0000, 0.0000, 0.0000)
Au (0.1133, 0.6133, 0.5000)

iii) Below is Sb2TeAu2 after structural relaxation, with properties calculated at the PBE level.

Calculated values
N(E_F): 0.586 states/eV per atom
Volume: 26.09 A^3/atom

Cell: 4.7258 4.7258 11.6800 Å, 90.00 90.00 90.00°
Space group I4/mmm (No. 139)
Inequivalent atoms, fractional coordinates:
Sb (0.0000, 0.5000, 0.2500)
Te (0.0000, 0.0000, 0.0000)
Au (0.0000, 0.0000, 0.3836)

iv) Below is Sb2TeAu2 after structural relaxation, with properties calculated at the PBE level.

Calculated values
N(E_F): 0.483 states/eV per atom
Volume: 24.05 A^3/atom

Cell: 7.8614 7.8614 3.8909 Å, 90.00 90.00 90.00°
Space group P4/mbm (No. 127)
Inequivalent atoms, fractional coordinates:
Sb (0.1638, 0.3362, 0.0000)
Te (0.0000, 0.0000, 0.5000)
Au (0.1309, 0.6309, 0.5000)

We find i) to be the most stable, with the next structure 1.7 kJ/mol of atoms higher.